Entry w
Below is an optimized crystal structure of TmZrBe2, with properties calculated at the PBE level.

Lattice parameters (Å, degrees): 3.256 3.256 6.498 90.00 90.00 90.00
Fractional positions:
Tm  0.000  0.000  0.000
Zr  0.000  0.000  0.500
Be  0.500  0.500  0.274
Be  0.500  0.500  0.726

mass density = 6.7 g cm⁻³
space group = P4/mmm
total magnetic moment = 0.00 μB per formula unit

Entry x
Below is an optimized crystal structure of TmZrBe2, with properties calculated at the PBE level.

Lattice parameters (Å, degrees): 4.598 4.598 4.598 60.00 60.00 60.00
Fractional positions:
Tm  0.000  0.000  0.000
Zr  0.500  0.500  0.500
Be  0.250  0.250  0.250
Be  0.750  0.750  0.750

mass density = 6.7 g cm⁻³
space group = Fm-3m
total magnetic moment = 0.00 μB per formula unit

Verdict on stability: entry x comes out at the bottom.

Entry w
Below is an optimized crystal structure of Zr2UBe, with properties calculated at the PBE level.

Lattice parameters (Å, degrees): 10.201 10.201 10.201 17.25 17.25 17.25
Fractional positions:
Zr  0.102  0.102  0.102
Zr  0.898  0.898  0.898
U  0.000  0.000  0.000
Be  0.500  0.500  0.500

mass density = 8.8 g cm⁻³
space group = R-3m
total magnetic moment = 1.75 μB per formula unit

Entry x
Below is an optimized crystal structure of Zr2UBe, with properties calculated at the PBE level.

Lattice parameters (Å, degrees): 3.046 3.046 8.401 90.00 90.00 90.00
Fractional positions:
Zr  0.000  0.000  0.203
Zr  0.000  0.000  0.797
U  0.500  0.500  0.500
Be  0.500  0.500  0.000

mass density = 9.2 g cm⁻³
space group = P4/mmm
total magnetic moment = 2.23 μB per formula unit

Verdict on stability: entry w comes out at the bottom.

Entry w
Below is an optimized crystal structure of BeV3, with properties calculated at the PBE level.

Lattice parameters (Å, degrees): 3.660 3.660 3.660 90.00 90.00 90.00
Fractional positions:
Be  0.000  0.000  0.000
V  0.000  0.500  0.500
V  0.500  0.000  0.500
V  0.500  0.500  0.000

mass density = 5.5 g cm⁻³
space group = Pm-3m
total magnetic moment = 0.84 μB per formula unit

Entry x
Below is an optimized crystal structure of BeV3, with properties calculated at the PBE level.

Lattice parameters (Å, degrees): 4.607 4.607 4.607 90.00 90.00 90.00
Fractional positions:
Be  0.000  0.000  0.000
Be  0.500  0.500  0.500
V  0.000  0.250  0.500
V  0.000  0.750  0.500
V  0.250  0.500  0.000
V  0.500  0.000  0.250
V  0.500  0.000  0.750
V  0.750  0.500  0.000

mass density = 5.5 g cm⁻³
space group = Pm-3n
total magnetic moment = 0.00 μB per formula unit

Verdict on stability: entry w comes out at the bottom.

Entry w
Below is an optimized crystal structure of BeV3, with properties calculated at the PBE level.

Lattice parameters (Å, degrees): 5.098 5.098 5.098 153.17 63.98 123.12
Fractional positions:
Be  0.000  0.000  0.000
V  0.465  0.717  0.748
V  0.497  0.997  0.500
V  0.969  0.717  0.252

mass density = 5.4 g cm⁻³
space group = Imm2
total magnetic moment = 0.00 μB per formula unit

Entry x
Below is an optimized crystal structure of BeV3, with properties calculated at the PBE level.

Lattice parameters (Å, degrees): 4.521 4.521 4.521 132.42 132.42 69.57
Fractional positions:
Be  0.000  0.000  0.000
V  0.250  0.750  0.500
V  0.500  0.500  0.000
V  0.750  0.250  0.500

mass density = 5.4 g cm⁻³
space group = I4/mmm
total magnetic moment = 0.00 μB per formula unit

Verdict on stability: entry w comes out at the bottom.